1.
The following is a DFT calculation (PBE) of a relaxed structure of AcY7Er3.

SG ... No. 156
ΔE to the lowest computed polymorph ... 77.0 meV per atom
DOS at the Fermi energy ... 18.7 states/eV per cell
Crystal system ... trigonal

a b c (Å): 7.139 7.139 8.678
angles (deg): 90.00 90.00 120.00
Atoms (fractional coordinates):
Ac 0.000 0.000 0.000
Y 0.166 0.333 0.337
Y 0.166 0.834 0.337
Y 0.501 0.003 0.999
Y 0.501 0.499 0.999
Y 0.667 0.333 0.334
Y 0.667 0.834 0.337
Y 0.997 0.499 0.999
Er 0.337 0.169 0.662
Er 0.831 0.169 0.662
Er 0.831 0.663 0.662


2.
The following is a DFT calculation (PBE) of a relaxed structure of AcYEr2.

SG ... No. 123
ΔE to the lowest computed polymorph ... 3.0 meV per atom
DOS at the Fermi energy ... 7.2 states/eV per cell
Crystal system ... tetragonal

a b c (Å): 5.172 5.172 5.127
angles (deg): 90.00 90.00 90.00
Atoms (fractional coordinates):
Ac 0.000 0.000 0.000
Y 0.500 0.500 0.000
Er 0.000 0.500 0.500
Er 0.500 0.000 0.500


3.
The following is a DFT calculation (PBE) of a relaxed structure of AcY8Er3.

SG ... No. 44
DOS at the Fermi energy ... 22.2 states/eV per cell
Crystal system ... orthorhombic
Energy ... -5.78 eV/atom

a b c (Å): 8.534 8.534 8.534
angles (deg): 99.84 96.01 136.41
Atoms (fractional coordinates):
Ac 0.000 0.000 0.000
Y 0.088 0.000 0.422
Y 0.088 0.666 0.088
Y 0.500 0.331 0.831
Y 0.500 0.669 0.169
Y 0.578 0.000 0.912
Y 0.578 0.666 0.578
Y 0.998 0.335 0.337
Y 0.998 0.660 0.663
Er 0.080 0.333 0.746
Er 0.502 0.002 0.500
Er 0.587 0.333 0.254


4.
The following is a DFT calculation (PBE) of a relaxed structure of AcY4Er6.

SG ... No. 121
ΔE to the lowest computed polymorph ... 326.3 meV per atom
DOS at the Fermi energy ... 18.6 states/eV per cell
Crystal system ... tetragonal

a b c (Å): 8.462 8.462 8.462
angles (deg): 124.72 124.72 82.00
Atoms (fractional coordinates):
Ac 0.000 0.000 0.000
Y 0.261 0.261 0.672
Y 0.410 0.739 0.000
Y 0.590 0.590 0.328
Y 0.739 0.410 0.000
Er 0.000 0.500 0.500
Er 0.074 0.550 0.000
Er 0.450 0.450 0.524
Er 0.500 0.000 0.500
Er 0.550 0.074 0.000
Er 0.926 0.926 0.476


5.
The following is a DFT calculation (PBE) of a relaxed structure of AcY3Er.

SG ... No. 12
ΔE to the lowest computed polymorph ... 25.9 meV per atom
DOS at the Fermi energy ... 16.9 states/eV per cell
Crystal system ... monoclinic

a b c (Å): 9.536 9.536 8.638
angles (deg): 111.54 111.54 29.78
Atoms (fractional coordinates):
Ac 0.116 0.116 0.147
Ac 0.884 0.884 0.853
Y 0.057 0.057 0.700
Y 0.227 0.227 0.629
Y 0.415 0.415 0.555
Y 0.585 0.585 0.445
Y 0.773 0.773 0.371
Y 0.943 0.943 0.300
Er 0.311 0.311 0.110
Er 0.689 0.689 0.890


6.
The following is a DFT calculation (PBE) of a relaxed structure of Ac8Y5Er.

SG ... No. 1
DOS at the Fermi energy ... 23.5 states/eV per cell
Crystal system ... triclinic
Energy ... -4.91 eV/atom

a b c (Å): 7.577 9.156 9.439
angles (deg): 113.93 101.61 102.22
Atoms (fractional coordinates):
Ac 0.000 0.000 0.000
Ac 0.075 0.722 0.588
Ac 0.302 0.889 0.321
Ac 0.397 0.438 0.165
Ac 0.504 0.002 0.999
Ac 0.605 0.549 0.857
Ac 0.728 0.154 0.728
Ac 0.804 0.887 0.321
Y 0.105 0.546 0.862
Y 0.193 0.331 0.460
Y 0.223 0.155 0.728
Y 0.574 0.722 0.584
Y 0.900 0.436 0.163
Er 0.696 0.330 0.452


Which of these has the highest DOS at the Fermi energy?
Ac8Y5Er


Look up the DOS at the Fermi energy of the fourth one.
18.6 states/eV per cell


Please write out number 2 again, unchanged.
The following is a DFT calculation (PBE) of a relaxed structure of AcYEr2.

SG ... No. 123
ΔE to the lowest computed polymorph ... 3.0 meV per atom
DOS at the Fermi energy ... 7.2 states/eV per cell
Crystal system ... tetragonal

a b c (Å): 5.172 5.172 5.127
angles (deg): 90.00 90.00 90.00
Atoms (fractional coordinates):
Ac 0.000 0.000 0.000
Y 0.500 0.500 0.000
Er 0.000 0.500 0.500
Er 0.500 0.000 0.500


Among the records above, which one has the lowest DOS at the Fermi energy?
AcYEr2